Compound: CdPRuS2
Source: Alexandria via LeMat-Bulk
Functional: PBE
Structure: relaxed

Geometry as POSCAR:
```
CdPRuS2
1.0
4.828 0.000 0.000
0.000 4.828 0.000
0.000 0.000 4.399
Ru S P Cd
1 2 1 1
direct
0.000 0.000 0.000 Ru
0.000 0.500 0.000 S
0.500 0.000 0.000 S
0.000 0.000 0.500 P
0.500 0.500 0.500 Cd
```

Summary:
- energy relative to the lowest polymorph listed for this composition (eV/atom) = 0.000
- symmetry = P4/mmm

=====

Compound: HfTe2O
Source: Alexandria via LeMat-Bulk
Functional: PBE
Structure: relaxed

Geometry as POSCAR:
```
HfTe2O
1.0
1.877 0.000 9.388
-0.938 1.625 9.388
-0.938 -1.625 9.388
Te Hf O
2 1 1
direct
0.896 0.896 0.896 Te
0.104 0.104 0.104 Te
0.000 0.000 0.000 Hf
0.500 0.500 0.500 O
```

Summary:
- symmetry = R-3m

=====

For the records above, the corresponding spin magnetization values read 0.00; 0.00 μB per formula unit.
For the records above, the corresponding formation energy (no corrections) values read 0.379; 0.345 eV per atom.